A geometry-optimized Sc2TeSe structure, computed with PBE-GGA.

Calculated values
Calculated volume ... 24.641 Å³ per atom
Polymorph energy (0 for the lowest one) ... 270 meV/atom
Energy relative to the elements, uncorrected ... -1124 meV per atom

abc: 3.8071 3.7296 6.9415
angles: 90.00 90.10 90.00
Element x y z (fractional)
Sc 0.0003 0.0000 0.2347
Sc 0.9997 0.0000 0.7653
Te 0.5000 0.5000 0.0000
Se 0.0000 0.5000 0.5000